# Tb12Er6In GGA-PBE relaxed
# ΔE to the lowest computed polymorph = 0.000 eV per atom
# Formation energy = 0.073 eV/atom
# Fermi-level density of states = 28.63 states/eV/f.u.
data_Tb12Er6In
_symmetry_space_group_name_H-M 'R -3'
_symmetry_Int_Tables_number 148
_symmetry_space_group_name_Hall '-R 3'
_cell_length_a 11.8111
_cell_length_b 11.8111
_cell_length_c 14.9402
_cell_angle_alpha 90.00
_cell_angle_beta 90.00
_cell_angle_gamma 120.00
loop_
_atom_site_label
_atom_site_type_symbol
_atom_site_fract_x
_atom_site_fract_y
_atom_site_fract_z
Tb1 Tb 0.0038 0.1768 0.3140
Tb2 Tb 0.0457 0.8487 0.9154
Er1 Er 0.0207 0.4303 0.1879
In1 In 0.0000 0.0000 0.5000